Computed, not measured: a geometry-optimized TaHRh2 structure at the PBE level of DFT.

Cell and atoms, written as extended XYZ:
```
4
Lattice="-2.850 0.468 1.002 0.714 -1.336 2.656 1.560 5.010 2.100" Properties=species:S:1:pos:R:3 pbc="T T T"
Rh 0.354 1.136 0.476
Rh 1.206 3.873 1.623
Ta -0.288 2.071 2.879
H -1.068 -0.434 1.829
```

The energy relative to the lowest polymorph listed for this composition is 161 meV/atom. The calculation puts the raw total energy at -7.527 eV per atom. The calculation puts the theoretical density at 12.189 g/cm3.